4
Lattice="2.9552 0.0000 0.0000 0.0000 4.4843 0.0000 0.0000 0.0000 4.4987" Properties=species:S:1:pos:R:3 comment="PBE Cu2OsBr, relaxed" final_energy_ev_per_atom=-4.305 de_polymorph_mev_per_atom=371 e_form_raw_ev_per_atom=0.97 sg="Pmmm (47)" volume_a3_per_cell=59.62 dos_ef_per_ev_cell=3.5 pbc="T T T"
Cu 0.0000 0.0000 0.0000
Cu 1.4776 0.0000 2.2493
Os 0.0000 2.2422 2.2493
Br 1.4776 2.2422 0.0000



4
Lattice="0.0000 3.0795 3.0795 3.0795 0.0000 3.0795 3.0795 3.0795 0.0000" Properties=species:S:1:pos:R:3 comment="PBE CuOs2Br, relaxed" final_energy_ev_per_atom=-5.659 de_polymorph_mev_per_atom=842 e_form_raw_ev_per_atom=1.40 sg="Fm-3m (225)" volume_a3_per_cell=58.41 dos_ef_per_ev_cell=5.7 pbc="T T T"
Cu 0.0000 0.0000 0.0000
Os 1.5398 1.5398 1.5398
Os 4.6193 4.6193 4.6193
Br 3.0795 3.0795 3.0795



18
Lattice="6.9277 -6.7606 0.0000 6.9277 6.7606 0.0000 -0.0382 0.0000 6.3972" Properties=species:S:1:pos:R:3 comment="PBE Cu2OsBr6, relaxed" final_energy_ev_per_atom=-3.410 e_form_raw_ev_per_atom=-0.14 sg="C2/c (15)" volume_a3_per_cell=599.22 dos_ef_per_ev_cell=13.2 pbc="T T T"
Cu 1.0186 0.1214 2.3919
Cu 0.9995 -0.1214 5.5905
Cu 12.8177 0.1214 0.8067
Cu 12.7985 -0.1214 4.0053
Os 6.9181 1.0164 1.5993
Os 6.8990 -1.0164 4.7979
Br 1.6643 1.5325 0.6586
Br 5.3781 2.6677 2.5024
Br 1.6452 -1.5325 3.8572
Br 5.5266 0.8605 5.8807
Br 8.4582 2.6677 0.6962
Br 5.5457 -0.8605 2.6821
Br 8.2714 0.8605 3.7151
Br 5.3589 -2.6677 5.7010
Br 8.2905 -0.8605 0.5165
Br 12.1719 1.5325 2.5400
Br 8.4391 -2.6677 3.8947
Br 12.1528 -1.5325 5.7385



4
Lattice="2.8690 0.0000 0.0000 0.0000 4.3817 0.0000 -1.0643 0.0000 5.1455" Properties=species:S:1:pos:R:3 comment="PBE CuOs2Br, relaxed" final_energy_ev_per_atom=-5.958 de_polymorph_mev_per_atom=542 e_form_raw_ev_per_atom=1.10 sg="P2/m (10)" volume_a3_per_cell=64.68 dos_ef_per_ev_cell=4.3 pbc="T T T"
Cu 0.0000 0.0000 0.0000
Os 0.7792 2.1908 1.0739
Os 1.0255 2.1908 4.0716
Br 0.9023 0.0000 2.5728



4
Lattice="1.4483 0.8362 8.5198 -1.4483 0.8362 8.5198 0.0000 -1.6724 8.5198" Properties=species:S:1:pos:R:3 comment="PBE Cu2OsBr, relaxed" final_energy_ev_per_atom=-4.657 de_polymorph_mev_per_atom=19 e_form_raw_ev_per_atom=0.62 sg="R-3m (166)" volume_a3_per_cell=61.91 dos_ef_per_ev_cell=3.0 pbc="T T T"
Cu 0.0000 0.0000 6.2614
Cu 0.0000 0.0000 19.2980
Os 0.0000 0.0000 12.7797
Br 0.0000 0.0000 0.0000



4
Lattice="4.1223 -1.4240 0.0000 4.1223 1.4240 0.0000 -0.8037 0.0000 6.8518" Properties=species:S:1:pos:R:3 comment="PBE CuOs2Br, relaxed" final_energy_ev_per_atom=-6.291 de_polymorph_mev_per_atom=210 e_form_raw_ev_per_atom=0.77 sg="Cm (8)" volume_a3_per_cell=80.44 dos_ef_per_ev_cell=2.4 pbc="T T T"
Cu 0.0000 0.0000 0.0000
Os 1.5167 0.0000 5.5475
Os 3.7256 0.0000 4.5994
Br 7.5845 0.0000 2.4207



4
Lattice="-1.4214 2.2722 4.8959 1.4214 -2.2722 4.8959 1.4214 2.2722 -4.8959" Properties=species:S:1:pos:R:3 comment="PBE CuOs2Br, relaxed" final_energy_ev_per_atom=-5.916 de_polymorph_mev_per_atom=585 e_form_raw_ev_per_atom=1.14 sg="Imm2 (44)" volume_a3_per_cell=63.25 dos_ef_per_ev_cell=4.2 pbc="T T T"
Cu 0.0000 0.0000 0.0000
Os 1.4214 0.0000 2.5243
Os 0.0000 0.0000 4.6578
Br 0.0000 2.2722 2.0592



4
Lattice="0.0000 3.1300 3.1300 3.1300 0.0000 3.1300 3.1300 3.1300 0.0000" Properties=species:S:1:pos:R:3 comment="PBE Cu2OsBr, relaxed" final_energy_ev_per_atom=-3.989 de_polymorph_mev_per_atom=687 e_form_raw_ev_per_atom=1.28 sg="Fm-3m (225)" volume_a3_per_cell=61.33 dos_ef_per_ev_cell=4.1 pbc="T T T"
Cu 1.5650 1.5650 1.5650
Cu 4.6950 4.6950 4.6950
Os 0.0000 0.0000 0.0000
Br 3.1300 3.1300 3.1300



4
Lattice="1.4684 -2.4520 0.0000 1.4684 2.4520 0.0000 0.0000 0.0000 8.7037" Properties=species:S:1:pos:R:3 comment="PBE Cu2OsBr, relaxed" final_energy_ev_per_atom=-4.572 de_polymorph_mev_per_atom=103 e_form_raw_ev_per_atom=0.70 sg="Cmmm (65)" volume_a3_per_cell=62.67 dos_ef_per_ev_cell=3.2 pbc="T T T"
Cu 0.0000 0.0000 2.0726
Cu 0.0000 0.0000 6.6311
Os 1.4684 0.0000 0.0000
Br 1.4684 0.0000 4.3518



5
Lattice="4.7455 0.0000 0.0000 0.0000 4.7455 0.0000 0.0000 0.0000 4.7455" Properties=species:S:1:pos:R:3 comment="PBE Cu3OsBr, relaxed" final_energy_ev_per_atom=-3.712 de_polymorph_mev_per_atom=0 e_form_raw_ev_per_atom=1.33 sg="Pm-3m (221)" volume_a3_per_cell=106.87 dos_ef_per_ev_cell=2.8 pbc="T T T"
Cu 0.0000 0.0000 2.3728
Cu 0.0000 2.3728 0.0000
Cu 2.3728 0.0000 0.0000
Os 0.0000 0.0000 0.0000
Br 2.3728 2.3728 2.3728



4
Lattice="1.4261 0.8234 8.5501 -1.4261 0.8234 8.5501 0.0000 -1.6467 8.5501" Properties=species:S:1:pos:R:3 comment="PBE CuOs2Br, relaxed" final_energy_ev_per_atom=-6.016 de_polymorph_mev_per_atom=485 e_form_raw_ev_per_atom=1.04 sg="R-3m (166)" volume_a3_per_cell=60.24 dos_ef_per_ev_cell=3.6 pbc="T T T"
Cu 0.0000 0.0000 0.0000
Os 0.0000 0.0000 6.4996
Os 0.0000 0.0000 19.1508
Br 0.0000 0.0000 12.8252



4
Lattice="3.0731 0.0000 0.0000 0.0000 3.0731 0.0000 0.0000 0.0000 6.6115" Properties=species:S:1:pos:R:3 comment="PBE Cu2OsBr, relaxed" final_energy_ev_per_atom=-4.457 de_polymorph_mev_per_atom=218 e_form_raw_ev_per_atom=0.82 sg="P4mm (99)" volume_a3_per_cell=62.44 dos_ef_per_ev_cell=4.1 pbc="T T T"
Cu 0.0000 0.0000 0.0000
Cu 1.5366 1.5366 1.2731
Os 0.0000 0.0000 2.6475
Br 1.5366 1.5366 4.5000



Question: Number 10 is which compound?
Answer: Cu3OsBr